TiH, single point on PBEsol structure, DFT meta-GGA SCAN; symmetry = Fm-3m (225); crystal system = cubic; volume = 18 Å³ per cell; VASP energy = -10.12 eV/atom
1.0
-0.257 -2.808 -0.749
0.736 -2.090 1.898
-2.069 -1.653 1.224
Ti H
1 1
Direct
0.000 0.000 0.000
0.500 0.500 0.500



NiBi2H2, single point on PBEsol structure, DFT meta-GGA SCAN; symmetry = I4/mmm (139); crystal system = tetragonal; volume = 74 Å³ per cell; VASP energy = -35.45 eV/atom
1.0
-3.068 -1.054 -0.809
1.149 -1.084 -2.946
2.275 -4.818 4.557
H Bi Ni
2 2 1
Direct
0.250 0.750 0.500
0.750 0.250 0.500
0.626 0.626 0.252
0.374 0.374 0.748
0.000 0.000 0.000



MnSi2Ag, single point on PBEsol structure, DFT meta-GGA SCAN; symmetry = R-3m (166); uncorrected formation energy = 2.5 kcal/mol of atoms; crystal system = trigonal; volume = 54 Å³ per cell; polymorph energy (0 for the lowest one) = 0 meV per atom
1.0
-1.268 0.362 -2.446
1.296 -0.707 -2.354
-3.093 -7.512 -1.086
Si Mn Ag
2 1 1
Direct
0.261 0.261 0.216
0.739 0.739 0.784
0.000 0.000 0.000
0.500 0.500 0.500



BaSrW2, single point on PBEsol structure, DFT meta-GGA SCAN; symmetry = Pmmm (47); crystal system = orthorhombic; volume = 103 Å³ per cell; polymorph energy (0 for the lowest one) = 555 meV per atom
1.0
-0.688 0.693 -2.757
-0.222 -5.182 -1.247
-6.386 -0.104 1.569
W Sr Ba
2 1 1
Direct
0.000 0.000 0.685
0.000 0.000 0.315
0.500 0.500 0.500
0.500 0.500 0.000



BaGa3Si, single point on PBEsol structure, DFT meta-GGA SCAN; symmetry = Pm-3m (221); uncorrected formation energy = 0.5 kcal/mol of atoms; crystal system = cubic; volume = 120 Å³ per cell
1.0
-4.451 2.001 -0.699
0.501 -0.587 -4.869
-2.059 -4.467 0.327
Ga Ba Si
3 1 1
Direct
0.000 0.000 0.500
0.500 0.000 0.000
0.000 0.500 0.000
0.500 0.500 0.500
0.000 0.000 0.000



Tl2ZnCu, single point on PBEsol structure, DFT meta-GGA SCAN; symmetry = R-3m (166); crystal system = trigonal; volume = 82 Å³ per cell; VASP energy = -43.05 eV/atom
1.0
3.388 0.000 0.000
1.694 2.934 0.000
1.694 0.978 8.231
Tl Zn Cu
2 1 1
Direct
0.745 0.745 0.765
0.255 0.255 0.235
0.500 0.500 0.500
0.000 0.000 0.000



LiFe2F9, single point on PBEsol structure, DFT meta-GGA SCAN; symmetry = P-1 (2); uncorrected formation energy = -53.2 kcal/mol of atoms; crystal system = triclinic; volume = 333 Å³ per cell
1.0
-3.480 -2.205 3.950
-2.783 -0.990 -6.685
4.565 -7.383 2.049
F Li Fe
18 2 4
Direct
0.580 0.851 0.826
0.052 0.125 0.670
0.723 0.672 0.072
0.234 0.501 0.705
0.649 0.465 0.735
0.867 0.156 0.143
0.766 0.499 0.295
0.570 0.744 0.533
0.133 0.844 0.857
0.123 0.732 0.568
0.351 0.535 0.265
0.948 0.875 0.330
0.420 0.149 0.174
0.877 0.268 0.432
0.430 0.256 0.467
0.277 0.328 0.928
0.471 0.086 0.688
0.529 0.914 0.312
0.220 0.278 0.122
0.780 0.722 0.878
0.658 0.706 0.286
0.349 0.794 0.695
0.651 0.206 0.305
0.342 0.294 0.714



Li2BiAu, single point on PBEsol structure, DFT meta-GGA SCAN; symmetry = F-43m (216); crystal system = cubic; volume = 75 Å³ per cell; VASP energy = -38.67 eV/atom
1.0
-2.068 3.430 2.526
-4.722 0.209 0.288
-2.172 -1.043 4.076
Au Li Bi
1 2 1
Direct
0.250 0.250 0.250
0.750 0.750 0.750
0.500 0.500 0.500
0.000 0.000 0.000